Material: Pm6PrSm3Er2
Method: DFT, GGA-PBE
State: relaxed

a = 6.2822 Å, b = 6.2822 Å, c = 12.0152 Å
α = 95.00°, β = 95.00°, γ = 119.98°
Atoms (fractional coordinates):
Pm 0.0820 0.4165 0.7512
Pm 0.2490 0.2490 0.2486
Pm 0.4165 0.0820 0.7512
Pm 0.5835 0.9180 0.2488
Pm 0.7510 0.7510 0.7514
Pm 0.9180 0.5835 0.2488
Pr 0.5000 0.5000 0.0000
Sm 0.0000 0.0000 0.5000
Sm 0.3331 0.6669 0.5000
Sm 0.6669 0.3331 0.5000
Er 0.1666 0.8334 0.0000
Er 0.8334 0.1666 0.0000

**ΔE_f**: 0.015 eV per atom
**Electronic total energy**: -56.39 eV for the cell shown
**Magnetization**: 0.00 μB/f.u.
**Crystal system**: monoclinic
**SG**: No. 12